First-principles (PBE-GGA) data for crystalline Ce3Zn2Sn4 at its relaxed geometry, as listed in the Alexandria database.

abc: 11.6452 4.6726 9.2431
angles: 90.00 113.77 90.00
With the nearest neighbours (Å) after each atom.
Space group C2/m (No. 12)
Symmetry-distinct sites (fractional):
Ce 0.0000 0.0000 0.0000 [2 per cell]  6 Sn 3.23-3.34
Ce 0.1343 0.5000 0.6767 [4 per cell]  4 Zn 3.24-3.58, 8 Sn 3.30-3.57, 1 Ce 3.49
Zn 0.1771 0.5000 0.3355 [4 per cell]  4 Sn 2.70-2.90
Sn 0.0849 0.0000 0.3906 [4 per cell]  3 Zn 2.70-2.90
Sn 0.2056 0.5000 0.0598 [4 per cell]  1 Zn 2.70, 2 Sn 2.94

- DFT formation energy (eV/atom) = -0.4715
- size of the total moment (μB per cell) = 5.74
- mass density (g/cm³) = 7.403

=====

First-principles (PBE-GGA) data for crystalline BaMgTeO6 at its relaxed geometry, as listed in the Alexandria database.

abc: 5.4754 5.4754 5.6675
angles: 90.00 90.00 120.00
With the nearest neighbours (Å) after each atom.
Space group P312 (No. 149)
Symmetry-distinct sites (fractional):
Ba 0.0000 0.0000 0.0000 [1 per cell]  6 O 2.72
Mg 0.3333 0.6667 0.5000 [1 per cell]  6 O 2.12
Te 0.6667 0.3333 0.5000 [1 per cell]  6 O 1.94
O 0.3941 0.0244 0.6926 [6 per cell]  1 Te 1.94, 1 Mg 2.12

- size of the total moment (μB per cell) = 2.01
- mass density (g/cm³) = 4.347
- calculated total energy (eV/atom) = -5.63

=====

First-principles (PBE-GGA) data for crystalline Cs3Pu2CdS6 at its relaxed geometry, as listed in the Alexandria database.

abc: 7.1319 12.3697 8.3571
angles: 90.00 106.40 90.00
With the nearest neighbours (Å) after each atom.
Space group C2/m (No. 12)
Symmetry-distinct sites (fractional):
Cs 0.0000 0.0000 0.0000 [2 per cell]  6 S 3.46-3.52
Cs 0.0000 0.3385 0.0000 [4 per cell]  6 S 3.48-3.51
Pu 0.0000 0.1671 0.5000 [4 per cell]  6 S 2.76
Cd 0.0000 0.5000 0.5000 [2 per cell]  6 S 2.82-2.86
S 0.2177 0.0000 0.6786 [4 per cell]  2 Pu 2.76, 1 Cd 2.82
S 0.2323 0.3280 0.6819 [8 per cell]  2 Pu 2.76, 1 Cd 2.86

- size of the total moment (μB per cell) = 18.00
- mass density (g/cm³) = 5.595
- calculated total energy (eV/atom) = -6.02

=====

First-principles (PBE-GGA) data for crystalline Ba2ZrRe at its relaxed geometry, as listed in the Alexandria database.

abc: 3.3239 3.3239 35.9859
angles: 90.00 90.00 120.00
With the nearest neighbours (Å) after each atom.
Space group R-3m (No. 166, hexagonal axes)
Symmetry-distinct sites (fractional):
Ba 0.0000 0.0000 0.0949 [6 per cell]  3 Re 3.22, 6 Ba 3.32, 1 Zr 3.41
Zr 0.0000 0.0000 0.0000 [3 per cell]  6 Zr 3.32, 2 Ba 3.41
Re 0.0000 0.0000 0.5000 [3 per cell]  6 Ba 3.22, 6 Re 3.32

- DFT formation energy (eV/atom) = 1.3455
- size of the total moment (μB per cell) = 5.40
- excess energy over the best structure of this formula in the dataset (meV/atom) = 893
- mass density (g/cm³) = 7.988